{
  "formula": "KTi",
  "functional": "PBE-GGA",
  "state": "relaxed",
  "e_tot_ev_per_atom": -3.58,
  "e_form_mev_per_atom": 920,
  "e_above_lowest_polymorph_ev_per_fu": 0.47,
  "dos_ef_per_ev_cell": 15.87,
  "cell": [[-3.143, -2.851, -0.514], [9.228, -8.690, -8.217], [2.208, -3.560, 6.244]],
  "species": ["Ti", "K", "K", "K", "Ti", "Ti", "K", "K", "K", "Ti", "Ti", "Ti"],
  "fractional_positions": [[0.000, 0.417, 0.032], [0.500, 0.729, 0.721], [0.000, 0.000, 0.007], [0.000, 0.500, 0.507], [0.500, 0.000, 0.489], [0.500, 0.500, 0.989], [0.500, 0.771, 0.221], [0.500, 0.229, 0.221], [0.500, 0.271, 0.721], [0.000, 0.583, 0.032], [0.000, 0.917, 0.532], [0.000, 0.083, 0.532]]
}

=====

{
  "formula": "Tb2Ce3PrN6",
  "functional": "PBE-GGA",
  "state": "relaxed",
  "e_tot_ev_per_atom": -8.34,
  "dos_ef_per_ev_cell": 7.70,
  "raw_formation_energy_mev_per_atom": -1521,
  "cell": [[-0.114, -2.125, -5.799], [2.967, -3.171, 4.393], [-5.820, -1.169, 1.640]],
  "species": ["N", "Ce", "N", "N", "Tb", "N", "Tb", "Pr", "Ce", "N", "Ce", "N"],
  "fractional_positions": [[0.914, 0.570, 0.743], [0.833, 0.167, 0.500], [0.260, 0.260, 0.744], [0.740, 0.740, 0.256], [0.667, 0.333, 0.000], [0.086, 0.430, 0.257], [0.333, 0.667, 0.000], [0.000, 0.000, 0.000], [0.167, 0.833, 0.500], [0.570, 0.914, 0.743], [0.500, 0.500, 0.500], [0.430, 0.086, 0.257]]
}

=====

{
  "formula": "BeIr2Ru",
  "functional": "PBE-GGA",
  "state": "relaxed",
  "e_tot_ev_per_atom": -7.75,
  "e_form_mev_per_atom": -70,
  "dos_ef_per_ev_cell": 2.96,
  "cell": [[4.568, -0.001, -0.033], [3.757, 2.598, -0.033], [0.870, 0.271, 4.469]],
  "species": ["Be", "Ir", "Ru", "Ir"],
  "fractional_positions": [[0.253, 0.253, 0.230], [0.996, 0.996, 0.030], [0.501, 0.501, 0.507], [0.750, 0.750, 0.733]]
}

=====

{
  "formula": "Ac8SiPt3Br4",
  "functional": "PBE-GGA",
  "state": "relaxed",
  "e_tot_ev_per_atom": -5.17,
  "dos_ef_per_ev_cell": 8.45,
  "raw_formation_energy_mev_per_atom": -1225,
  "cell": [[9.005, 0.000, 0.000], [0.000, 9.603, 0.421], [-4.503, -4.506, 6.366]],
  "species": ["Ac", "Pt", "Ac", "Ac", "Ac", "Ac", "Si", "Ac", "Ac", "Br", "Br", "Br", "Pt", "Ac", "Br", "Pt"],
  "fractional_positions": [[0.725, 0.700, 0.962], [0.000, 0.500, 0.500], [0.733, 0.699, 0.466], [0.762, 0.300, 0.525], [0.238, 0.700, 0.962], [0.762, 0.300, 0.038], [0.000, 0.500, 0.000], [0.267, 0.301, 0.534], [0.238, 0.700, 0.475], [0.000, 0.000, 0.000], [0.500, 0.000, 0.000], [0.500, 0.000, 0.500], [0.500, 0.500, 0.000], [0.275, 0.300, 0.038], [0.000, 0.000, 0.500], [0.500, 0.500, 0.500]]
}

=====

{
  "formula": "Dy7GeS5",
  "functional": "PBE-GGA",
  "state": "relaxed",
  "e_tot_ev_per_atom": -6.12,
  "dos_ef_per_ev_cell": 12.38,
  "raw_formation_energy_mev_per_atom": -1697,
  "cell": [[3.943, -0.002, 0.000], [-1.974, 6.383, 0.009], [0.000, -0.024, 23.175]],
  "species": ["Ge", "S", "S", "S", "Dy", "S", "Dy", "Dy", "S", "Dy", "S", "S", "Ge", "Dy", "Dy", "Dy", "Dy", "Dy", "Dy", "Dy", "Dy", "S", "Dy", "S", "S", "Dy"],
  "fractional_positions": [[0.804, 0.608, 0.250], [0.726, 0.452, 0.929], [0.000, 0.001, 0.000], [0.548, 0.096, 0.142], [0.814, 0.629, 0.678], [0.548, 0.096, 0.358], [0.468, 0.936, 0.250], [0.363, 0.726, 0.963], [0.275, 0.549, 0.429], [0.093, 0.186, 0.887], [0.275, 0.549, 0.071], [0.726, 0.452, 0.571], [0.197, 0.393, 0.750], [0.908, 0.816, 0.387], [0.363, 0.725, 0.537], [0.186, 0.372, 0.178], [0.815, 0.629, 0.822], [0.638, 0.276, 0.463], [0.908, 0.816, 0.113], [0.638, 0.276, 0.037], [0.186, 0.372, 0.322], [0.452, 0.905, 0.642], [0.093, 0.185, 0.613], [0.453, 0.906, 0.858], [0.000, 0.000, 0.500], [0.532, 0.065, 0.750]]
}

=====

{
  "formula": "Sc2BeMo",
  "functional": "PBE-GGA",
  "state": "relaxed",
  "e_tot_ev_per_atom": -6.45,
  "e_form_mev_per_atom": 355,
  "dos_ef_per_ev_cell": 3.59,
  "cell": [[-0.446, 8.152, -3.724], [-1.877, 6.508, -5.885], [-3.440, 7.534, -3.451]],
  "species": ["Mo", "Be", "Sc", "Sc"],
  "fractional_positions": [[0.750, 0.750, 0.750], [0.250, 0.250, 0.250], [0.505, 0.505, 0.505], [0.995, 0.995, 0.995]]
}

=====

{
  "formula": "Nd2Zn6Sn",
  "functional": "PBE-GGA",
  "state": "relaxed",
  "e_tot_ev_per_atom": -2.70,
  "e_form_mev_per_atom": -343,
  "dos_ef_per_ev_cell": 4.57,
  "cell": [[-1.395, 4.568, 3.439], [-0.436, -3.655, 4.679], [5.213, 2.568, -1.296]],
  "species": ["Nd", "Zn", "Zn", "Zn", "Sn", "Nd", "Zn", "Zn", "Zn"],
  "fractional_positions": [[0.158, 0.333, 0.667], [0.650, 0.631, 0.815], [0.650, 0.185, 0.815], [0.350, 0.815, 0.630], [0.000, 0.000, 0.000], [0.842, 0.667, 0.333], [0.650, 0.185, 0.370], [0.350, 0.815, 0.185], [0.350, 0.369, 0.185]]
}

=====

{
  "formula": "Mg2ScW",
  "functional": "PBE-GGA",
  "state": "relaxed",
  "e_tot_ev_per_atom": -5.25,
  "e_form_mev_per_atom": 372,
  "e_above_lowest_polymorph_ev_per_fu": 0.73,
  "dos_ef_per_ev_cell": 4.06,
  "cell": [[-4.498, -2.844, -0.917], [1.742, -0.021, 5.112], [-1.609, 2.365, 0.558]],
  "species": ["W", "Sc", "Mg", "Mg"],
  "fractional_positions": [[0.000, 0.500, 0.500], [0.500, 0.000, 0.500], [0.000, 0.000, 0.000], [0.500, 0.500, 0.000]]
}

=====

{
  "formula": "K2Al",
  "functional": "PBE-GGA",
  "state": "relaxed",
  "e_tot_ev_per_atom": -1.57,
  "e_form_mev_per_atom": 406,
  "e_above_lowest_polymorph_ev_per_fu": 0.80,
  "dos_ef_per_ev_cell": 3.01,
  "cell": [[-2.259, 0.252, 2.625], [1.582, -8.592, 2.187], [6.823, 2.685, 5.612]],
  "species": ["K", "Al", "K", "K", "Al", "K"],
  "fractional_positions": [[0.000, 0.204, 0.681], [0.000, 0.000, 0.000], [0.500, 0.704, 0.819], [0.500, 0.296, 0.181], [0.500, 0.500, 0.500], [0.000, 0.796, 0.319]]
}

=====

{
  "formula": "HgTePdO6",
  "functional": "PBE-GGA",
  "state": "relaxed",
  "e_tot_ev_per_atom": -4.89,
  "raw_formation_energy_mev_per_atom": -622,
  "cell": [[5.273, 0.000, 0.000], [-2.637, 4.567, 0.000], [0.000, 0.000, 10.044]],
  "species": ["O", "O", "O", "Hg", "Te", "O", "Pd", "Pd", "O", "O", "O", "O", "O", "O", "Hg", "Te", "O", "O"],
  "fractional_positions": [[0.627, 0.635, 0.641], [0.365, 0.373, 0.859], [0.008, 0.373, 0.641], [0.000, 0.000, 0.500], [0.333, 0.667, 0.750], [0.635, 0.627, 0.141], [0.333, 0.667, 0.250], [0.667, 0.333, 0.750], [0.373, 0.365, 0.359], [0.008, 0.635, 0.859], [0.992, 0.627, 0.359], [0.365, 0.992, 0.641], [0.992, 0.365, 0.141], [0.373, 0.008, 0.141], [0.000, 0.000, 0.000], [0.667, 0.333, 0.250], [0.635, 0.008, 0.359], [0.627, 0.992, 0.859]]
}

=====

{
  "formula": "LaGe2Au2",
  "functional": "PBE-GGA",
  "state": "relaxed",
  "e_tot_ev_per_atom": -4.42,
  "e_form_mev_per_atom": -272,
  "dos_ef_per_ev_cell": 6.67,
  "cell": [[-7.571, 1.094, 1.864], [-0.347, -7.318, 2.885], [0.969, 1.223, 3.219]],
  "species": ["Au", "Au", "Au", "Ge", "La", "Ge", "Ge", "Au", "Ge", "La"],
  "fractional_positions": [[0.876, 0.624, 0.000], [0.124, 0.376, 0.000], [0.376, 0.876, 0.000], [0.188, 0.688, 0.500], [0.500, 0.500, 0.000], [0.812, 0.312, 0.500], [0.688, 0.812, 0.500], [0.624, 0.124, 0.000], [0.312, 0.188, 0.500], [0.000, 0.000, 0.000]]
}

=====

{
  "formula": "Ni13Mo2",
  "functional": "PBE-GGA",
  "state": "relaxed",
  "e_tot_ev_per_atom": -5.96,
  "e_form_mev_per_atom": 498,
  "dos_ef_per_ev_cell": 22.25,
  "cell": [[-4.012, -0.306, 4.908], [2.021, -2.142, 5.622], [0.831, 4.702, 5.075]],
  "species": ["Ni", "Ni", "Mo", "Ni", "Ni", "Ni", "Ni", "Mo", "Ni", "Ni", "Ni", "Ni", "Ni", "Ni", "Ni"],
  "fractional_positions": [[0.245, 0.870, 0.641], [0.616, 0.616, 0.761], [0.362, 0.362, 0.914], [0.384, 0.994, 0.239], [0.245, 0.245, 0.641], [0.130, 0.755, 0.359], [0.384, 0.384, 0.239], [0.638, 0.638, 0.086], [0.755, 0.755, 0.359], [0.616, 0.006, 0.761], [0.994, 0.384, 0.239], [0.500, 0.500, 0.500], [0.870, 0.245, 0.641], [0.006, 0.616, 0.761], [0.755, 0.130, 0.359]]
}

=====

{
  "formula": "BaZn2Fe",
  "functional": "PBE-GGA",
  "state": "relaxed",
  "e_tot_ev_per_atom": -2.67,
  "e_form_mev_per_atom": 567,
  "dos_ef_per_ev_cell": 4.91,
  "cell": [[4.562, 0.000, 0.000], [0.000, 4.562, 0.000], [0.000, 0.000, 4.679]],
  "species": ["Zn", "Ba", "Fe", "Zn"],
  "fractional_positions": [[0.500, 0.500, 0.000], [0.500, 0.000, 0.500], [0.000, 0.500, 0.500], [0.000, 0.000, 0.000]]
}

=====

{
  "formula": "K2AsPd3",
  "functional": "PBE-GGA",
  "state": "relaxed",
  "e_tot_ev_per_atom": -4.01,
  "e_form_mev_per_atom": -269,
  "dos_ef_per_ev_cell": 2.50,
  "cell": [[4.861, -0.051, 2.193], [1.397, 4.657, 2.193], [-0.069, -0.051, 5.333]],
  "species": ["Pd", "K", "Pd", "K", "Pd", "As"],
  "fractional_positions": [[0.500, 0.000, 0.000], [0.622, 0.622, 0.622], [0.000, 0.500, 0.000], [0.378, 0.378, 0.378], [0.000, 0.000, 0.500], [0.000, 0.000, 0.000]]
}

=====

{
  "formula": "NaCr2Te4",
  "functional": "PBE-GGA",
  "state": "relaxed",
  "e_tot_ev_per_atom": -5.09,
  "dos_ef_per_ev_cell": 3.24,
  "raw_formation_energy_mev_per_atom": -360,
  "cell": [[3.901, 0.000, 0.567], [1.909, 3.402, 0.567], [-0.037, -0.021, 13.958]],
  "species": ["Te", "Te", "Cr", "Na", "Cr", "Te", "Te"],
  "fractional_positions": [[0.722, 0.722, 0.833], [0.278, 0.278, 0.167], [0.574, 0.574, 0.279], [0.000, 0.000, 0.000], [0.426, 0.426, 0.721], [0.129, 0.129, 0.613], [0.871, 0.871, 0.387]]
}

=====

{
  "formula": "Nd2Er2Tm7",
  "functional": "PBE-GGA",
  "state": "relaxed",
  "e_tot_ev_per_atom": -4.39,
  "e_form_mev_per_atom": 157,
  "dos_ef_per_ev_cell": 17.56,
  "cell": [[-2.587, -5.010, 2.134], [5.644, -3.908, 4.063], [-3.719, 2.070, 6.747]],
  "species": ["Tm", "Tm", "Er", "Tm", "Nd", "Tm", "Tm", "Er", "Tm", "Nd", "Tm"],
  "fractional_positions": [[0.820, 0.936, 0.412], [0.820, 0.412, 0.936], [0.500, 0.788, 0.212], [0.423, 0.229, 0.229], [0.193, 0.594, 0.594], [0.577, 0.771, 0.771], [0.180, 0.064, 0.588], [0.500, 0.212, 0.788], [0.000, 0.000, 0.000], [0.807, 0.406, 0.406], [0.180, 0.588, 0.064]]
}

=====

{
  "formula": "Rb2Ca2Mn",
  "functional": "PBE-GGA",
  "state": "relaxed",
  "e_tot_ev_per_atom": -2.25,
  "e_form_mev_per_atom": 773,
  "e_above_lowest_polymorph_ev_per_fu": 0.00,
  "dos_ef_per_ev_cell": 8.21,
  "cell": [[-2.658, -1.916, -3.697], [-0.894, -4.020, 2.727], [-11.381, 2.077, 3.805]],
  "species": ["Ca", "Rb", "Rb", "Mn", "Ca"],
  "fractional_positions": [[0.750, 0.250, 0.500], [0.590, 0.590, 0.820], [0.410, 0.410, 0.180], [0.000, 0.000, 0.000], [0.250, 0.750, 0.500]]
}

=====

{
  "formula": "CdCo2As",
  "functional": "PBE-GGA",
  "state": "relaxed",
  "e_tot_ev_per_atom": -4.69,
  "e_form_mev_per_atom": 256,
  "e_above_lowest_polymorph_ev_per_fu": 0.70,
  "dos_ef_per_ev_cell": 2.70,
  "cell": [[0.000, 3.039, 3.039], [3.039, 0.000, 3.039], [3.039, 3.039, 0.000]],
  "species": ["Co", "As", "Cd", "Co"],
  "fractional_positions": [[0.750, 0.750, 0.750], [0.000, 0.000, 0.000], [0.500, 0.500, 0.500], [0.250, 0.250, 0.250]]
}

=====

{
  "formula": "RbSr2Ni",
  "functional": "PBE-GGA",
  "state": "relaxed",
  "e_tot_ev_per_atom": -2.05,
  "e_form_mev_per_atom": 483,
  "e_above_lowest_polymorph_ev_per_fu": 1.47,
  "dos_ef_per_ev_cell": 3.15,
  "cell": [[0.000, 4.187, 4.187], [4.187, 0.000, 4.187], [4.187, 4.187, 0.000]],
  "species": ["Rb", "Sr", "Ni", "Sr"],
  "fractional_positions": [[0.500, 0.500, 0.500], [0.250, 0.250, 0.250], [0.000, 0.000, 0.000], [0.750, 0.750, 0.750]]
}

=====

{
  "formula": "ZrNi3H6",
  "functional": "PBE-GGA",
  "state": "relaxed",
  "e_tot_ev_per_atom": -4.80,
  "dos_ef_per_ev_cell": 2.03,
  "cell": [[-1.779, -0.446, 4.055], [3.904, -1.918, -0.941], [1.888, 4.398, -1.130]],
  "species": ["Zr", "H", "H", "H", "Ni", "Ni", "H", "H", "H", "Ni"],
  "fractional_positions": [[0.785, 0.892, 0.677], [0.800, 0.080, 0.255], [0.331, 0.430, 0.740], [0.175, 0.721, 0.255], [0.653, 0.327, 0.980], [0.349, 0.674, 0.023], [0.839, 0.409, 0.740], [0.310, 0.901, 0.740], [0.534, 0.454, 0.255], [0.224, 0.112, 0.336]]
}